# 1
AcAlH3 | PBE | relaxed

Output
Uncorrected energy   -18.1 eV/cell
N(E_F)   2.41 states/eV/f.u.
Space-group type   Pm-3m
V   12.6 Å³/atom

Cell lengths 3.979, 3.979, 3.979 Å; angles 90.00, 90.00, 90.00 degrees
Positions (direct):
Ac 0.000 0.000 0.000
Al 0.500 0.500 0.500
H 0.000 0.500 0.500
H 0.500 0.000 0.500
H 0.500 0.500 0.000

=====

# 2
AcAlH | PBE | relaxed

Output
Uncorrected energy   -25.0 eV/cell
N(E_F)   1.94 states/eV/f.u.
Excess energy over the best structure of this formula in the dataset   0.00 eV/f.u.
Space-group type   Cmcm
V   22.1 Å³/atom

Cell lengths 6.908, 6.908, 4.485 Å; angles 90.00, 90.00, 141.70 degrees
Positions (direct):
Ac 0.156 0.844 0.750
Ac 0.844 0.156 0.250
Al 0.449 0.551 0.750
Al 0.551 0.449 0.250
H 0.248 0.752 0.250
H 0.752 0.248 0.750

=====

# 3
Ac3AlH | PBE | relaxed

Output
Uncorrected energy   -20.0 eV/cell
N(E_F)   6.78 states/eV/f.u.
Space-group type   Pm-3m
V   29.7 Å³/atom

Cell lengths 5.295, 5.295, 5.295 Å; angles 90.00, 90.00, 90.00 degrees
Positions (direct):
Ac 0.000 0.000 0.500
Ac 0.000 0.500 0.000
Ac 0.500 0.000 0.000
Al 0.500 0.500 0.500
H 0.000 0.000 0.000

=====

# 4
AcAlH | PBE | relaxed

Output
Uncorrected energy   -10.8 eV/cell
N(E_F)   2.65 states/eV/f.u.
Excess energy over the best structure of this formula in the dataset   1.66 eV/f.u.
Space-group type   I4mm
V   24.6 Å³/atom

Cell lengths 5.900, 5.900, 5.900 Å; angles 143.01, 143.01, 53.31 degrees
Positions (direct):
Ac 0.000 0.000 0.000
Al 0.694 0.694 0.000
H 0.516 0.516 0.000

=====

# 5
AcAlH6 | PBE | relaxed

Output
Uncorrected energy   -30.8 eV/cell
N(E_F)   0.00 states/eV/f.u.
Space-group type   R-3m
V   10.4 Å³/atom

Cell lengths 4.408, 4.408, 4.408 Å; angles 98.12, 98.12, 98.12 degrees
Positions (direct):
Ac 0.000 0.000 0.000
Al 0.500 0.500 0.500
H 0.214 0.214 0.563
H 0.214 0.563 0.214
H 0.437 0.786 0.786
H 0.563 0.214 0.214
H 0.786 0.437 0.786
H 0.786 0.786 0.437

=====

# 6
LiAcAlH6 | PBE | relaxed

Output
Uncorrected energy   -32.6 eV/cell
N(E_F)   1.41 states/eV/f.u.
Space-group type   P-6m2
V   9.9 Å³/atom

Cell lengths 4.627, 4.627, 4.801 Å; angles 90.00, 90.00, 120.00 degrees
Positions (direct):
Li 0.000 0.000 0.000
Ac 0.333 0.667 0.500
Al 0.667 0.333 0.000
H 0.342 0.171 0.253
H 0.342 0.171 0.747
H 0.829 0.171 0.253
H 0.829 0.171 0.747
H 0.829 0.658 0.253
H 0.829 0.658 0.747

=====

# 7
Na2AcAlH8 | PBE | relaxed

Output
Uncorrected energy   -40.5 eV/cell
Space-group type   P-1
V   11.3 Å³/atom

Cell lengths 4.743, 4.768, 6.443 Å; angles 68.81, 89.97, 89.76 degrees
Positions (direct):
Na 0.000 0.147 0.212
Na 0.000 0.853 0.788
Ac 0.500 0.500 0.500
Al 0.500 0.000 0.000
H 0.001 0.286 0.488
H 0.252 0.733 0.130
H 0.255 0.272 0.870
H 0.499 0.919 0.740
H 0.501 0.081 0.260
H 0.745 0.728 0.130
H 0.748 0.267 0.870
H 0.999 0.714 0.512

=====

# 8
Ac2AlH2O6 | PBE | relaxed

Output
Uncorrected energy   -72.8 eV/cell
N(E_F)   5.10 states/eV/f.u.
Space-group type   R-3m
V   10.7 Å³/atom

Cell lengths 5.847, 5.847, 5.847 Å; angles 52.92, 52.92, 52.92 degrees
Positions (direct):
Ac 0.239 0.239 0.239
Ac 0.761 0.761 0.761
Al 0.000 0.000 0.000
H 0.416 0.416 0.416
H 0.584 0.584 0.584
O 0.247 0.247 0.738
O 0.247 0.738 0.247
O 0.262 0.753 0.753
O 0.738 0.247 0.247
O 0.753 0.262 0.753
O 0.753 0.753 0.262

=====

# 9
Ac2AlHPd6 | PBE | relaxed

Output
Uncorrected energy   -53.8 eV/cell
N(E_F)   4.07 states/eV/f.u.
Space-group type   C2/m
V   18.7 Å³/atom

Cell lengths 5.938, 5.938, 6.988 Å; angles 114.76, 114.76, 59.92 degrees
Positions (direct):
Ac 0.232 0.232 0.195
Ac 0.768 0.768 0.805
Al 0.500 0.500 0.000
H 0.000 0.000 0.500
Pd 0.229 0.731 0.690
Pd 0.230 0.230 0.691
Pd 0.269 0.771 0.310
Pd 0.731 0.229 0.690
Pd 0.770 0.770 0.309
Pd 0.771 0.269 0.310

=====

# 10
AcAlHPd2 | PBE | relaxed

Output
Uncorrected energy   -50.7 eV/cell
N(E_F)   1.67 states/eV/f.u.
Space-group type   Cmcm
V   17.6 Å³/atom

Cell lengths 6.128, 6.128, 7.481 Å; angles 90.00, 90.00, 141.26 degrees
Positions (direct):
Ac 0.063 0.937 0.750
Ac 0.937 0.063 0.250
Al 0.218 0.782 0.250
Al 0.782 0.218 0.750
H 0.500 0.500 0.000
H 0.500 0.500 0.500
Pd 0.339 0.661 0.555
Pd 0.339 0.661 0.945
Pd 0.661 0.339 0.055
Pd 0.661 0.339 0.445

=====

# 11
AcAlHPd | PBE | relaxed

Output
Uncorrected energy   -38.4 eV/cell
N(E_F)   2.58 states/eV/f.u.
Space-group type   P4/nmm
V   19.7 Å³/atom

Cell lengths 4.295, 4.295, 8.524 Å; angles 90.00, 90.00, 90.00 degrees
Positions (direct):
Ac 0.250 0.250 0.163
Ac 0.750 0.750 0.837
Al 0.250 0.750 0.500
Al 0.750 0.250 0.500
H 0.250 0.750 0.000
H 0.750 0.250 0.000
Pd 0.250 0.250 0.662
Pd 0.750 0.750 0.338

=====

# 12
Ac2AlHPt6 | PBE | relaxed

Output
Uncorrected energy   -60.0 eV/cell
N(E_F)   3.57 states/eV/f.u.
Space-group type   C2/m
V   18.6 Å³/atom

Cell lengths 5.895, 5.895, 7.034 Å; angles 114.60, 114.60, 60.05 degrees
Positions (direct):
Ac 0.224 0.224 0.170
Ac 0.776 0.776 0.830
Al 0.500 0.500 0.000
H 0.000 0.000 0.500
Pt 0.232 0.232 0.688
Pt 0.232 0.724 0.687
Pt 0.276 0.768 0.313
Pt 0.724 0.232 0.687
Pt 0.768 0.276 0.313
Pt 0.768 0.768 0.312

=====

# 13
AcAlHPt | PBE | relaxed

Output
Uncorrected energy   -41.6 eV/cell
N(E_F)   2.47 states/eV/f.u.
Space-group type   P4/nmm
V   19.7 Å³/atom

Cell lengths 4.218, 4.218, 8.865 Å; angles 90.00, 90.00, 90.00 degrees
Positions (direct):
Ac 0.250 0.250 0.168
Ac 0.750 0.750 0.832
Al 0.250 0.750 0.500
Al 0.750 0.250 0.500
H 0.250 0.750 0.000
H 0.750 0.250 0.000
Pt 0.250 0.250 0.658
Pt 0.750 0.750 0.342

=====

# 14
AcAlH8Ru2 | PBE | relaxed

Output
Uncorrected energy   -56.3 eV/cell
N(E_F)   0.05 states/eV/f.u.
Space-group type   R-3m
V   9.1 Å³/atom

Cell lengths 6.354, 6.354, 6.354 Å; angles 43.26, 43.26, 43.26 degrees
Positions (direct):
Ac 0.000 0.000 0.000
Al 0.500 0.500 0.500
H 0.124 0.560 0.560
H 0.308 0.308 0.308
H 0.440 0.440 0.876
H 0.440 0.876 0.440
H 0.560 0.124 0.560
H 0.560 0.560 0.124
H 0.692 0.692 0.692
H 0.876 0.440 0.440
Ru 0.215 0.215 0.215
Ru 0.785 0.785 0.785

=====

# 15
AcAlSiH | PBE | relaxed

Output
Uncorrected energy   -18.6 eV/cell
N(E_F)   1.14 states/eV/f.u.
Space-group type   P3m1
V   19.0 Å³/atom

Cell lengths 4.319, 4.319, 4.715 Å; angles 90.00, 90.00, 120.00 degrees
Positions (direct):
Ac 0.000 0.000 0.000
Al 0.333 0.667 0.504
Si 0.667 0.333 0.545
H 0.333 0.667 0.124

=====

# 16
AcAl2SiH2 | PBE | relaxed

Output
Uncorrected energy   -49.5 eV/cell
N(E_F)   1.19 states/eV/f.u.
Space-group type   P2_1/m
V   16.6 Å³/atom

Cell lengths 6.028, 5.708, 6.482 Å; angles 90.00, 116.77, 90.00 degrees
Positions (direct):
Ac 0.242 0.250 0.489
Ac 0.758 0.750 0.511
Al 0.255 0.505 0.987
Al 0.255 0.995 0.987
Al 0.745 0.005 0.013
Al 0.745 0.495 0.013
Si 0.138 0.750 0.261
Si 0.862 0.250 0.739
H 0.382 0.250 0.186
H 0.446 0.250 0.904
H 0.554 0.750 0.096
H 0.618 0.750 0.814

=====

# 17
AcAlSnH | PBE | relaxed

Output
Uncorrected energy   -17.0 eV/cell
N(E_F)   1.54 states/eV/f.u.
Space-group type   P3m1
V   22.1 Å³/atom

Cell lengths 4.662, 4.662, 4.689 Å; angles 90.00, 90.00, 120.00 degrees
Positions (direct):
Ac 0.000 0.000 0.000
Al 0.333 0.667 0.489
Sn 0.667 0.333 0.537
H 0.333 0.667 0.106

=====

# 18
AcHf2Al | PBE | relaxed

Output
Energy relative to the elements   0.422 eV/atom
Uncorrected energy   -26.1 eV/cell
N(E_F)   6.07 states/eV/f.u.
Space-group type   R-3m
V   25.3 Å³/atom

Cell lengths 11.195, 11.195, 11.195 Å; angles 16.71, 16.71, 16.71 degrees
Positions (direct):
Ac 0.000 0.000 0.000
Hf 0.098 0.098 0.098
Hf 0.902 0.902 0.902
Al 0.500 0.500 0.500

=====

# 19
Ac2HfAlO6 | PBE | relaxed

Output
Energy relative to the elements, uncorrected   -72.97 kcal/mol of atoms
Uncorrected energy   -83.3 eV/cell
N(E_F)   2.35 states/eV/f.u.
Space-group type   I4/mmm
V   13.0 Å³/atom

Cell lengths 5.698, 5.698, 5.698 Å; angles 120.16, 120.16, 89.72 degrees
Positions (direct):
Ac 0.250 0.750 0.500
Ac 0.750 0.250 0.500
Hf 0.000 0.000 0.000
Al 0.500 0.500 0.000
O 0.260 0.260 0.000
O 0.260 0.260 0.520
O 0.260 0.740 0.000
O 0.740 0.260 0.000
O 0.740 0.740 0.000
O 0.740 0.740 0.480

=====

# 20
Ac2HfAlPd6 | PBE | relaxed

Output
Energy relative to the elements   -0.670 eV/atom
Uncorrected energy   -59.8 eV/cell
N(E_F)   5.12 states/eV/f.u.
Space-group type   P-1
V   22.5 Å³/atom

Cell lengths 5.703, 6.814, 6.990 Å; angles 77.76, 65.93, 65.38 degrees
Positions (direct):
Ac 0.244 0.301 0.213
Ac 0.756 0.699 0.787
Hf 0.000 0.000 0.000
Al 0.500 0.500 0.500
Pd 0.250 0.752 0.258
Pd 0.252 0.892 0.602
Pd 0.261 0.247 0.742
Pd 0.739 0.753 0.258
Pd 0.748 0.108 0.398
Pd 0.750 0.248 0.742

=====

# 21
Ac2HfAlPt6 | PBE | relaxed

Output
Energy relative to the elements   -0.953 eV/atom
Uncorrected energy   -67.7 eV/cell
N(E_F)   4.98 states/eV/f.u.
Space-group type   P-1
V   22.6 Å³/atom

Cell lengths 5.663, 6.825, 7.025 Å; angles 77.69, 66.32, 65.63 degrees
Positions (direct):
Ac 0.243 0.306 0.208
Ac 0.757 0.694 0.792
Hf 0.000 0.000 0.000
Al 0.500 0.500 0.500
Pt 0.248 0.756 0.261
Pt 0.254 0.886 0.607
Pt 0.265 0.244 0.740
Pt 0.735 0.756 0.260
Pt 0.746 0.114 0.393
Pt 0.752 0.244 0.739

=====

# 22
Ac2Al3Hg5 | PBE | relaxed

Output
Energy relative to the elements   -0.345 eV/atom
Uncorrected energy   -48.8 eV/cell
N(E_F)   4.21 states/eV/f.u.
Space-group type   Ibam
V   25.0 Å³/atom

Cell lengths 9.340, 9.340, 9.340 Å; angles 105.76, 89.04, 138.17 degrees
Positions (direct):
Ac 0.130 0.242 0.372
Ac 0.370 0.742 0.113
Ac 0.630 0.258 0.887
Ac 0.870 0.758 0.628
Al 0.128 0.876 0.005
Al 0.250 0.750 0.500
Al 0.372 0.376 0.748
Al 0.628 0.624 0.252
Al 0.750 0.250 0.500
Al 0.872 0.124 0.995
Hg 0.005 0.750 0.255
Hg 0.108 0.646 0.754
Hg 0.250 0.250 0.000
Hg 0.392 0.146 0.538
Hg 0.495 0.750 0.745
Hg 0.505 0.250 0.255
Hg 0.608 0.854 0.462
Hg 0.750 0.750 0.000
Hg 0.892 0.354 0.246
Hg 0.995 0.250 0.745

=====

# 23
Ac3Al2Hg2 | PBE | relaxed

Output
Energy relative to the elements   -0.399 eV/atom
Uncorrected energy   -23.2 eV/cell
N(E_F)   8.37 states/eV/f.u.
Space-group type   C2/m
V   31.8 Å³/atom

Cell lengths 6.558, 6.558, 9.085 Å; angles 114.15, 114.15, 39.26 degrees
Positions (direct):
Ac 0.000 0.000 0.000
Ac 0.186 0.186 0.645
Ac 0.814 0.814 0.355
Al 0.307 0.307 0.062
Al 0.693 0.693 0.938
Hg 0.467 0.467 0.673
Hg 0.533 0.533 0.327